[1]
DySn6Rh5: optimized geometry, PBE. Values from VASP.

Total moment   0.000 μB per formula unit
Uncorrected energy   -69.97 eV/cell
Space group   C2/m
Energy relative to the elements   -0.38 eV/atom

Cell and atoms, written as Quantum ESPRESSO input:
```
&SYSTEM
  ibrav = 0, nat = 12, ntyp = 3
/
ATOMIC_SPECIES
Rh 102.91 Rh.upf
Sn 118.71 Sn.upf
Dy 162.50 Dy.upf
ATOMIC_POSITIONS angstrom
Rh 2.832 -0.797 2.193
Rh 1.969 -3.235 7.114
Rh -0.222 -1.934 5.138
Rh 3.132 0.700 6.274
Rh 4.970 -2.140 4.151
Sn 0.450 0.384 6.446
Sn -0.627 -2.491 7.625
Sn 2.604 -0.946 8.409
Sn 4.651 -2.920 6.941
Sn 0.184 -1.378 2.650
Sn 2.497 -1.589 4.978
Dy 0.000 0.000 0.000
CELL_PARAMETERS angstrom
-2.701 0.401 7.043
2.258 -4.270 3.232
5.544 1.332 3.112
```

***

[2]
Dy3Sn2Rh: optimized geometry, PBE. Values from VASP.

Total moment   0.000 μB per formula unit
Uncorrected energy   -135.87 eV/cell
Space group   Pnma
Energy relative to the elements   -0.80 eV/atom

Cell and atoms, written as Quantum ESPRESSO input:
```
&SYSTEM
  ibrav = 0, nat = 24, ntyp = 3
/
ATOMIC_SPECIES
Sn 118.71 Sn.upf
Rh 102.91 Rh.upf
Dy 162.50 Dy.upf
ATOMIC_POSITIONS angstrom
Sn 5.319 -7.869 -3.733
Sn 3.308 -11.948 3.681
Sn 0.666 -3.572 1.719
Sn 5.805 -10.101 0.059
Sn 1.010 -5.428 -4.392
Sn 3.508 -3.580 -8.014
Sn 6.149 -11.957 -6.051
Sn 1.497 -7.660 -0.599
Rh 6.351 -13.234 -3.619
Rh 0.464 -2.295 -0.714
Rh 4.189 -7.871 0.151
Rh 2.627 -7.658 -4.483
Dy 5.434 -13.080 -0.849
Dy -0.198 -5.058 -1.149
Dy 3.430 -5.832 -2.237
Dy 1.381 -2.449 -3.483
Dy 3.678 -9.068 4.834
Dy 4.140 -5.466 -5.568
Dy 7.014 -10.470 -3.184
Dy 2.535 -6.295 1.971
Dy 3.385 -9.697 -2.096
Dy 4.281 -9.234 -6.304
Dy 2.676 -10.062 1.235
Dy 3.137 -6.460 -9.167
CELL_PARAMETERS angstrom
-3.464 -2.470 -1.009
5.389 -3.627 -9.620
4.891 -9.432 6.296
```